Computed, not measured: an optimized crystal structure of LiY2I6 at the PBE level of DFT.

Results
Formation energy from raw total energies ... -1.28 eV/atom
Final energy ... -3.966 eV per atom
DOS(E_F) ... 3.8 states/eV per cell

Cell lengths 8.817, 8.817, 11.538 Å; angles 112.00, 112.00, 27.50 degrees
Sites, in units of the cell vectors:
Li 0.000 0.000 0.000
Y 0.340 0.340 0.675
Y 0.660 0.660 0.325
I 0.022 0.022 0.288
I 0.305 0.305 0.386
I 0.368 0.368 0.945
I 0.632 0.632 0.055
I 0.695 0.695 0.614
I 0.978 0.978 0.712